# 1
Computed, not measured: crystalline ErHfPdRh at its relaxed geometry at the PBE level of DFT.

Calculated values
- formation enthalpy at 0 K (eV/atom) = -0.7840
- ρ (g cm⁻³) = 12.08

Lattice parameters (Å, degrees): 6.733 6.733 6.733 90.00 90.00 90.00
Space group F-43m (No. 216)
Unique sites:
Er 0.000 0.000 0.000 x4
Hf 0.000 0.000 0.500 x4
Pd 0.250 0.250 0.750 x4
Rh 0.250 0.250 0.250 x4



# 2
Computed, not measured: crystalline MnIn2Si at its relaxed geometry at the PBE level of DFT.

Calculated values
- E above lowest polymorph (meV per atom) = 225
- raw formation energy (meV/atom) = 376
- ρ (g cm⁻³) = 6.57

Lattice parameters (Å, degrees): 4.251 4.251 4.372 90.00 90.00 90.00
Space group P4/mmm (No. 123)
Unique sites:
Mn 0.000 0.000 0.000 x1
In 0.000 0.500 0.500 x2
Si 0.500 0.500 0.000 x1



# 3
Computed, not measured: crystalline BaHg3C at its relaxed geometry at the PBE level of DFT.

Calculated values
- formation enthalpy at 0 K (eV/atom) = 0.6186
- E above lowest polymorph (meV per atom) = 0
- ρ (g cm⁻³) = 9.61

Lattice parameters (Å, degrees): 5.063 5.063 5.063 90.00 90.00 90.00
Space group Pm-3m (No. 221)
Unique sites:
Ba 0.000 0.000 0.000 x1
Hg 0.000 0.500 0.500 x3
C 0.500 0.500 0.500 x1



# 4
Computed, not measured: crystalline Li9ZnAg2 at its relaxed geometry at the PBE level of DFT.

Calculated values
- formation enthalpy at 0 K (eV/atom) = -0.1209
- ρ (g cm⁻³) = 2.81

Lattice parameters (Å, degrees): 4.212 4.859 11.256 79.05 79.64 64.60
Space group P-1 (No. 2)
Unique sites:
Li 0.000 0.000 0.000 x1
Li 0.009 0.735 0.249 x2
Li 0.334 0.912 0.421 x2
Li 0.338 0.174 0.153 x2
Li 0.338 0.659 0.664 x2
Zn 0.000 0.500 0.500 x1
Ag 0.332 0.424 0.911 x2



# 5
Computed, not measured: crystalline YAlGa2 at its relaxed geometry at the PBE level of DFT.

Calculated values
- formation enthalpy at 0 K (eV/atom) = -0.1218
- ρ (g cm⁻³) = 4.57

Lattice parameters (Å, degrees): 4.572 4.572 17.767 90.00 90.00 90.00
Space group I-42d (No. 122)
Unique sites:
Y 0.000 0.000 0.000 x4
Al 0.000 0.000 0.500 x4
Ga 0.152 0.250 0.625 x8



# 6
Computed, not measured: crystalline Er2TmAu3 at its relaxed geometry at the PBE level of DFT.

Calculated values
- formation enthalpy at 0 K (eV/atom) = -0.8893
- E above lowest polymorph (meV per atom) = 0
- ρ (g cm⁻³) = 13.41

Lattice parameters (Å, degrees): 3.543 3.543 10.795 90.00 90.00 90.00
Space group P4/mmm (No. 123)
Unique sites:
Er 0.000 0.000 0.167 x2
Tm 0.000 0.000 0.500 x1
Au 0.500 0.500 0.000 x1
Au 0.500 0.500 0.335 x2



# 7
Computed, not measured: crystalline MgAlO3 at its relaxed geometry at the PBE level of DFT.

Calculated values
- raw formation energy (meV/atom) = -2120
- ρ (g cm⁻³) = 3.45

Lattice parameters (Å, degrees): 3.630 3.630 3.630 90.00 90.00 90.00
Space group Pm-3m (No. 221)
Unique sites:
Mg 0.000 0.000 0.000 x1
Al 0.500 0.500 0.500 x1
O 0.000 0.500 0.500 x3



# 8
Computed, not measured: crystalline BaNaGaPb at its relaxed geometry at the PBE level of DFT.

Calculated values
- formation enthalpy at 0 K (eV/atom) = -0.2434
- ρ (g cm⁻³) = 5.63

Lattice parameters (Å, degrees): 8.020 8.020 8.020 90.00 90.00 90.00
Space group F-43m (No. 216)
Unique sites:
Ba 0.000 0.000 0.000 x4
Na 0.000 0.000 0.500 x4
Ga 0.250 0.250 0.750 x4
Pb 0.250 0.250 0.250 x4



Q: What is the formula in the first record?
A: ErHfPdRh